Record 1
First-principles (PBE) data for crystalline Y3Si2Pt4 at its relaxed geometry, as listed in Alexandria.

Unit cell a=4.3143 b=5.6077 c=8.4221 alpha=71.69 beta=75.16 gamma=67.38
Last column: nearest neighbours and their distance in Å.
Positions (direct):
Y 0.3642 0.5799 0.6916  8 Pt 2.92-3.19, 4 Si 3.03-3.20
Y 0.0000 0.0000 0.0000  8 Pt 3.01-3.28
Y 0.6358 0.4201 0.3084  8 Pt 2.92-3.19, 4 Si 3.03-3.20
Si 0.3374 0.9956 0.3296  4 Pt 2.40-2.61
Si 0.6626 0.0044 0.6704  4 Pt 2.40-2.61
Pt 0.2823 0.3556 0.0799  1 Si 2.40
Pt 0.7177 0.6444 0.9201  1 Si 2.40
Pt 0.0990 0.2158 0.5861  3 Si 2.44-2.61
Pt 0.9010 0.7842 0.4139  3 Si 2.44-2.61

Computed properties:
Raw formation energy   -10.77 eV per formula unit
Crystal system   monoclinic

Record 2
First-principles (PBE) data for crystalline Fe2HgSe at its relaxed geometry, as listed in Alexandria.

Unit cell a=3.8577 b=3.1715 c=6.5115 alpha=75.56 beta=90.00 gamma=90.00
Last column: nearest neighbours and their distance in Å.
Positions (direct):
Fe 0.0000 0.6430 0.0892  2 Se 2.50, 4 Fe 2.51, 2 Hg 2.77-2.78
Fe 0.5000 0.1256 0.1230  2 Se 2.40, 4 Fe 2.51
Hg 0.0000 0.9598 0.4501  4 Fe 2.77-2.82
Se 0.5000 0.7717 0.8377  4 Fe 2.40-2.50

Computed properties:
Raw formation energy   0.84 eV per formula unit
Crystal system   monoclinic

Record 3
First-principles (PBE) data for crystalline KNdHo2Se4 at its relaxed geometry, as listed in Alexandria.

Unit cell a=4.1240 b=7.3888 c=7.3026 alpha=71.67 beta=90.00 gamma=90.00
Last column: nearest neighbours and their distance in Å.
Positions (direct):
K 0.0000 0.5000 0.5000  6 Se 3.08-3.11
Nd 0.5000 0.5000 0.0000  6 Se 3.05
Ho 0.0000 0.0000 0.0000  6 Se 2.86-2.88
Ho 0.5000 0.0000 0.5000  6 Se 2.92
Se 0.0000 0.7686 0.7477  3 Ho 2.88-2.92, 2 Nd 3.05, 1 K 3.08
Se 0.0000 0.2314 0.2523  3 Ho 2.88-2.92, 2 Nd 3.05, 1 K 3.08
Se 0.5000 0.7756 0.2348  3 Ho 2.86-2.92, 1 Nd 3.05, 2 K 3.11
Se 0.5000 0.2244 0.7652  3 Ho 2.86-2.92, 1 Nd 3.05, 2 K 3.11

Computed properties:
Raw formation energy   -13.82 eV per formula unit
Crystal system   monoclinic

Record 4
First-principles (PBE) data for crystalline Dy4BiSbTe2 at its relaxed geometry, as listed in Alexandria.

Unit cell a=4.4015 b=7.5900 c=7.6347 alpha=70.39 beta=90.00 gamma=90.00
Last column: nearest neighbours and their distance in Å.
Positions (direct):
Dy 0.0000 0.7455 0.7459  1 Sb 3.06, 2 Bi 3.11, 3 Te 3.11-3.16
Dy 0.0000 0.2545 0.2541  1 Sb 3.06, 2 Bi 3.11, 3 Te 3.11-3.16
Dy 0.5000 0.7413 0.2581  2 Sb 3.06, 1 Bi 3.11, 3 Te 3.11-3.16
Dy 0.5000 0.2587 0.7419  2 Sb 3.06, 1 Bi 3.11, 3 Te 3.11-3.16
Bi 0.5000 0.5000 0.0000  6 Dy 3.11
Sb 0.0000 0.5000 0.5000  6 Dy 3.06
Te 0.0000 0.0000 0.0000  6 Dy 3.16
Te 0.5000 0.0000 0.5000  6 Dy 3.11

Computed properties:
Raw formation energy   -9.35 eV per formula unit
Crystal system   monoclinic

Record 5
First-principles (PBE) data for crystalline CdAu2F12 at its relaxed geometry, as listed in Alexandria.

Unit cell a=7.2753 b=7.2753 c=10.3461 alpha=68.70 beta=68.70 gamma=77.33
Last column: nearest neighbours and their distance in Å.
Positions (direct):
Cd 0.1705 0.8295 0.7500  6 F 2.27-2.28
Cd 0.8295 0.1705 0.2500  6 F 2.27-2.28
Au 0.2545 0.2466 0.3695  6 F 1.92-1.99
Au 0.2466 0.2545 0.8695  6 F 1.92-1.99
Au 0.7455 0.7534 0.6305  6 F 1.92-1.99
Au 0.7534 0.7455 0.1305  6 F 1.92-1.99
F 0.8665 0.8645 0.2265  1 Au 1.99
F 0.1335 0.1355 0.7735  1 Au 1.99
F 0.2942 0.9759 0.5047  1 Au 1.99
F 0.9940 0.2805 0.5036  1 Au 1.93
F 0.2805 0.9940 0.0036  1 Au 1.93
F 0.3768 0.3503 0.4617  1 Au 1.92
F 0.3503 0.3768 0.9617  1 Au 1.92
F 0.8645 0.8665 0.7265  1 Au 1.99
F 0.7937 0.4782 0.2687  1 Au 1.99
F 0.0241 0.7058 0.9953  1 Au 1.99
F 0.7058 0.0241 0.4953  1 Au 1.99
F 0.9759 0.2942 0.0047  1 Au 1.99
F 0.5068 0.2185 0.7367  1 Au 1.92
F 0.6232 0.6497 0.5383  1 Au 1.92
F 0.2063 0.5218 0.7313  1 Au 1.99
F 0.6497 0.6232 0.0383  1 Au 1.92
F 0.4782 0.7937 0.7687  1 Au 1.99
F 0.7815 0.4932 0.7633  1 Au 1.92
F 0.5218 0.2063 0.2313  1 Au 1.99
F 0.4932 0.7815 0.2633  1 Au 1.92
F 0.2185 0.5068 0.2367  1 Au 1.92
F 0.7195 0.0060 0.9964  1 Au 1.93
F 0.1355 0.1335 0.2735  1 Au 1.99
F 0.0060 0.7195 0.4964  1 Au 1.93

Computed properties:
Raw formation energy   -17.06 eV per formula unit
Crystal system   monoclinic

Record 6
First-principles (PBE) data for crystalline VBH3 at its relaxed geometry, as listed in Alexandria.

Unit cell a=3.2300 b=3.2300 c=3.2300 alpha=90.00 beta=90.00 gamma=90.00
Last column: nearest neighbours and their distance in Å.
Positions (direct):
H 0.0000 0.5000 0.0000  2 V 1.62
H 0.0000 0.0000 0.5000  2 V 1.62
H 0.5000 0.0000 0.0000  2 V 1.62
B 0.5000 0.5000 0.5000  12 H 2.28
V 0.0000 0.0000 0.0000  6 H 1.62

Computed properties:
Energy above the most stable polymorph in this dataset   364.9 meV per atom
Crystal system   cubic

The records above give, respectively, size of the total moment values of 0.00, 5.28, 0.00, 0.00, 0.00, 0.00 Bohr magnetons per cell.
The records above give, respectively, density values of 10.38, 8.42, 6.52, 8.54, 5.16, 3.19 g/cm³.